Entry 1:
SmMgPa2N5 | PBE | relaxed

a b c (Å): 7.0576 7.0576 11.3608
angles (deg): 90.00 90.00 150.87
Atoms (fractional coordinates):
1 Sm 0.2206 0.7794 0.5000
2 Sm 0.7794 0.2206 0.0000
3 Mg 0.4982 0.5018 0.0063
4 Mg 0.5018 0.4982 0.5063
5 Pa 0.1249 0.8751 0.7563
6 Pa 0.1345 0.8655 0.2171
7 Pa 0.8655 0.1345 0.7171
8 Pa 0.8751 0.1249 0.2563
9 N 0.0588 0.9412 0.5801
10 N 0.2860 0.7140 0.1643
11 N 0.2943 0.7057 0.8444
12 N 0.3703 0.6297 0.6033
13 N 0.4576 0.5424 0.3234
14 N 0.5424 0.4576 0.8234
15 N 0.6297 0.3703 0.1033
16 N 0.7057 0.2943 0.3444
17 N 0.7140 0.2860 0.6643
18 N 0.9412 0.0588 0.0801

Output
Its formation energy (no corrections) is -1.3275 eV/atom.

---

Entry 2:
Sm2MgPaN4 | PBE | relaxed

a b c (Å): 5.8663 3.5436 6.0545
angles (deg): 90.00 108.32 90.00
Atoms (fractional coordinates):
1 Sm 0.0000 0.0000 0.0000
2 Sm 0.5000 0.5000 0.0000
3 Mg 0.0000 0.5000 0.5000
4 Pa 0.5000 0.0000 0.5000
5 N 0.2606 0.5000 0.2705
6 N 0.2629 0.0000 0.7326
7 N 0.7371 0.0000 0.2674
8 N 0.7394 0.5000 0.7295

Output
Its formation energy (no corrections) is -1.3553 eV/atom.

---

Entry 3:
MgPaSnN | PBE | relaxed

a b c (Å): 4.1305 4.1305 9.5583
angles (deg): 90.00 90.00 90.00
Atoms (fractional coordinates):
1 Mg 0.2500 0.7500 0.0000
2 Mg 0.7500 0.2500 0.0000
3 Pa 0.2500 0.2500 0.3864
4 Pa 0.7500 0.7500 0.6136
5 Sn 0.2500 0.2500 0.7881
6 Sn 0.7500 0.7500 0.2119
7 N 0.2500 0.7500 0.5000
8 N 0.7500 0.2500 0.5000

Output
Its formation energy (no corrections) is -0.8581 eV/atom.

---

Question: Which of these has the lowest formation energy (no corrections)?
Answer: Sm2MgPaN4